Record 1
A PBEsol-optimized structure of Li2AgF3, computed with meta-GGA SCAN.

## Properties
spin magnetization: 0.00 μB/f.u.
energy: -61.02 eV/f.u.
excess energy over the best structure of this formula in the dataset: 44 kJ/mol of formula units
density of states at the Fermi level: 0.0000 states/eV/atom
ΔE_f (raw): -2.38 eV per atom

a b c (Å): 5.3388 9.0739 5.4756
angles (deg): 90.00 108.78 90.00
Space group C2/m (No. 12)
Inequivalent atoms, fractional coordinates:
Li: 0.0000 0.0000 0.0000
Li: 0.0000 0.1617 0.5000
Li: 0.0000 0.5000 0.5000
Ag: 0.0000 0.3228 0.0000
F: 0.1956 0.0000 0.7476
F: 0.2417 0.3476 0.6917


Record 2
A PBEsol-optimized structure of ZrIrRh2, computed with meta-GGA SCAN.

## Properties
spin magnetization: 0.00 μB/f.u.
energy: -171.98 eV/f.u.
density of states at the Fermi level: 0.7094 states/eV/atom
ΔH_f (0 K): -659 meV per atom

a b c (Å): 3.9313 3.9313 7.8043
angles (deg): 90.00 90.00 90.00
Space group I4/mmm (No. 139)
Inequivalent atoms, fractional coordinates:
Zr: 0.0000 0.0000 0.0000
Ir: 0.0000 0.0000 0.5000
Rh: 0.0000 0.5000 0.2500


Record 3
A PBEsol-optimized structure of TlCuPb3, computed with meta-GGA SCAN.

## Properties
spin magnetization: 0.00 μB/f.u.
energy: -309.78 eV/f.u.
density of states at the Fermi level: 0.3596 states/eV/atom
ΔH_f (0 K): 1025 meV per atom

a b c (Å): 5.7319 5.7319 5.7319
angles (deg): 90.00 90.00 90.00
Space group Pm-3m (No. 221)
Inequivalent atoms, fractional coordinates:
Tl: 0.0000 0.0000 0.0000
Cu: 0.5000 0.5000 0.5000
Pb: 0.0000 0.0000 0.5000


Record 4
A PBEsol-optimized structure of LaPPt2, computed with meta-GGA SCAN.

## Properties
spin magnetization: 0.00 μB/f.u.
energy: -198.76 eV/f.u.
density of states at the Fermi level: 0.5632 states/eV/atom
ΔH_f (0 K): -1218 meV per atom

a b c (Å): 4.0676 17.9714 4.1850
angles (deg): 90.00 90.00 90.00
Space group Cmcm (No. 63)
Inequivalent atoms, fractional coordinates:
La: 0.0000 0.1052 0.2500
P: 0.0000 0.3249 0.2500
Pt: 0.0000 0.2425 0.7500
Pt: 0.0000 0.4534 0.2500


Record 5
A PBEsol-optimized structure of Tl3ZnCd, computed with meta-GGA SCAN.

## Properties
spin magnetization: 0.00 μB/f.u.
energy: -258.66 eV/f.u.
density of states at the Fermi level: 0.4115 states/eV/atom
ΔH_f (0 K): 470 meV per atom

a b c (Å): 5.5137 5.5137 5.5137
angles (deg): 90.00 90.00 90.00
Space group Pm-3m (No. 221)
Inequivalent atoms, fractional coordinates:
Tl: 0.0000 0.0000 0.5000
Zn: 0.5000 0.5000 0.5000
Cd: 0.0000 0.0000 0.0000


Record 6
A PBEsol-optimized structure of P2PtBrO, computed with meta-GGA SCAN.

## Properties
spin magnetization: 1.03 μB/f.u.
energy: -113.91 eV/f.u.
density of states at the Fermi level: 0.8490 states/eV/atom
ΔE_f (raw): 0.55 eV per atom

a b c (Å): 4.7894 4.7894 3.8139
angles (deg): 90.00 90.00 90.00
Space group P4/mmm (No. 123)
Inequivalent atoms, fractional coordinates:
P: 0.0000 0.5000 0.0000
Pt: 0.0000 0.0000 0.0000
Br: 0.5000 0.5000 0.5000
O: 0.0000 0.0000 0.5000


Record 7
A PBEsol-optimized structure of Ba8In6O17, computed with meta-GGA SCAN.

## Properties
spin magnetization: 0.00 μB/f.u.
energy: -692.90 eV/f.u.
ΔE_f (raw): -2.27 eV per atom

a b c (Å): 6.1289 29.2771 6.1093
angles (deg): 90.00 90.15 90.00
Space group C2/m (No. 12)
Inequivalent atoms, fractional coordinates:
Ba: 0.2425 0.2053 0.2662
Ba: 0.2437 0.4316 0.7570
In: 0.2289 0.3597 0.2257
In: 0.2372 0.0000 0.7364
O: 0.0000 0.0000 0.0000
O: 0.0000 0.0000 0.5000
O: 0.0000 0.1335 0.0000
O: 0.0000 0.3408 0.0000
O: 0.0000 0.3629 0.5000
O: 0.0000 0.5000 0.5000
O: 0.1838 0.2077 0.6947
O: 0.1859 0.4321 0.1900


Record 8
A PBEsol-optimized structure of MgZr2Cd, computed with meta-GGA SCAN.

## Properties
spin magnetization: 0.06 μB/f.u.
energy: -97.30 eV/f.u.
density of states at the Fermi level: 0.8137 states/eV/atom
ΔH_f (0 K): -130 meV per atom

a b c (Å): 3.0907 3.0907 8.9581
angles (deg): 90.00 90.00 90.00
Space group P4mm (No. 99)
Inequivalent atoms, fractional coordinates:
Mg: 0.0000 0.0000 0.0000
Zr: 0.0000 0.0000 0.4823
Zr: 0.5000 0.5000 0.7332
Cd: 0.5000 0.5000 0.2312


Record 9
A PBEsol-optimized structure of LiOs2Au, computed with meta-GGA SCAN.

## Properties
spin magnetization: 0.00 μB/f.u.
energy: -213.51 eV/f.u.
excess energy over the best structure of this formula in the dataset: 114 kJ/mol of formula units
density of states at the Fermi level: 0.8656 states/eV/atom
ΔH_f (0 K): 449 meV per atom

a b c (Å): 3.6508 3.6508 8.4836
angles (deg): 90.00 90.00 90.00
Space group I4/mmm (No. 139)
Inequivalent atoms, fractional coordinates:
Li: 0.0000 0.0000 0.0000
Os: 0.0000 0.5000 0.2500
Au: 0.0000 0.0000 0.5000


Record 10
A PBEsol-optimized structure of PCICl2, computed with meta-GGA SCAN.

## Properties
spin magnetization: 0.00 μB/f.u.
energy: -63.43 eV/f.u.
density of states at the Fermi level: 0.3956 states/eV/atom
ΔE_f (raw): 1.95 eV per atom

a b c (Å): 5.2381 5.2381 5.3684
angles (deg): 90.00 90.00 90.00
Space group P4/mmm (No. 123)
Inequivalent atoms, fractional coordinates:
P: 0.0000 0.0000 0.0000
C: 0.5000 0.5000 0.0000
I: 0.0000 0.0000 0.5000
Cl: 0.0000 0.5000 0.5000


Record 11
A PBEsol-optimized structure of LaMoP2, computed with meta-GGA SCAN.

## Properties
spin magnetization: 0.00 μB/f.u.
energy: -97.22 eV/f.u.
excess energy over the best structure of this formula in the dataset: 486 kJ/mol of formula units
density of states at the Fermi level: 1.0070 states/eV/atom
ΔH_f (0 K): 391 meV per atom

a b c (Å): 6.5513 6.5513 6.5513
angles (deg): 90.00 90.00 90.00
Space group F-43m (No. 216)
Inequivalent atoms, fractional coordinates:
La: 0.0000 0.0000 0.0000
Mo: 0.2500 0.2500 0.7500
P: 0.0000 0.0000 0.5000
P: 0.2500 0.2500 0.2500


Record 12
A PBEsol-optimized structure of TlCd2Ge2, computed with meta-GGA SCAN.

## Properties
spin magnetization: 0.00 μB/f.u.
energy: -170.48 eV/f.u.
excess energy over the best structure of this formula in the dataset: 37 kJ/mol of formula units
density of states at the Fermi level: 0.4471 states/eV/atom
ΔH_f (0 K): 176 meV per atom

a b c (Å): 4.0444 4.0444 13.8358
angles (deg): 90.00 90.00 90.00
Space group I4/mmm (No. 139)
Inequivalent atoms, fractional coordinates:
Tl: 0.0000 0.0000 0.0000
Cd: 0.0000 0.0000 0.3968
Ge: 0.0000 0.5000 0.2500